# 1
A relaxed KInTe2 crystal. Source: the Alexandria database, functional PBE-GGA.

```
8
Lattice="15.941 0.000 0.000 0.000 4.429 0.000 -1.229 0.000 4.256" Properties=species:S:1:pos:R:3 pbc="T T T"
K 0.000 0.000 0.000
K 7.970 2.215 0.000
In 3.062 0.000 3.186
In 11.032 2.215 3.186
Te 1.344 2.215 2.692
Te 5.394 0.000 1.555
Te 9.314 0.000 2.692
Te 13.365 2.215 1.555
```

Computed properties:
The uncorrected energy is -3.19 eV/atom. The calculation puts the formation energy from raw total energies at -657 meV per atom. The value obtained for the density of states at the Fermi level is 0.15 states/eV/cell.

=====

# 2
A relaxed LaAgRu2 crystal. Source: the Alexandria database, functional PBE-GGA.

```
8
Lattice="5.903 0.000 0.000 0.000 9.395 0.000 -1.381 0.000 2.668" Properties=species:S:1:pos:R:3 pbc="T T T"
La 0.000 0.000 0.000
La 2.951 4.698 0.000
Ag 0.000 4.698 0.000
Ag 2.951 0.000 0.000
Ru 0.785 2.349 1.334
Ru 0.785 7.046 1.334
Ru 3.736 2.349 1.334
Ru 3.736 7.046 1.334
```

Computed properties:
The uncorrected energy is -6.21 eV/atom. The formation energy from the elements is 0.375 eV per atom. The energy relative to the lowest polymorph listed for this composition is 187 meV/atom. The value obtained for the density of states at the Fermi level is 9.12 states/eV/cell.

=====

Which value of uncorrected energy does entry 2 give?
-6.21 eV/atom

=====

Number 2 is which compound?
LaAgRu2